(1)
# PBE TbTm3Th4, relaxed
# DOS(E_F): 20.23 states/eV per cell
# energy above the most stable polymorph in this dataset: 8.7 kJ per mole of atoms
# energy of formation from the pure elements: 1.13 eV per formula unit
data_TbTm3Th4
_cell_length_a 3.4132
_cell_length_b 11.3192
_cell_length_c 13.1388
_cell_angle_alpha 90.00
_cell_angle_beta 90.00
_cell_angle_gamma 90.00
_space_group_name_H-M_alt 'I m m m'
_space_group_IT_number 71
_space_group_name_Hall '-I 2 2'
loop_
_atom_site_label
_atom_site_fract_x
_atom_site_fract_y
_atom_site_fract_z
_atom_site_occupancy
Tb1 0.0000 0.0000 0.0000 1
Tm1 0.0000 0.0000 0.5000 1
Tm2 0.0000 0.5000 0.2648 1
Th1 0.0000 0.2523 0.1302 1



(2)
# PBE SmInCu4, relaxed
# DOS(E_F): 0.00 states/eV per cell
# energy of formation from the pure elements: -1.51 eV per formula unit
data_SmInCu4
_cell_length_a 7.3193
_cell_length_b 7.3193
_cell_length_c 7.3193
_cell_angle_alpha 90.00
_cell_angle_beta 90.00
_cell_angle_gamma 90.00
_space_group_name_H-M_alt 'F -4 3 m'
_space_group_IT_number 216
_space_group_name_Hall 'F -4 2 3'
loop_
_atom_site_label
_atom_site_fract_x
_atom_site_fract_y
_atom_site_fract_z
_atom_site_occupancy
Sm1 0.0000 0.0000 0.0000 1
In1 0.2500 0.2500 0.2500 1
Cu1 0.1243 0.1243 0.6243 1



no.,calculated total energy (eV for the cell shown)
1,-93.2
2,-101.4